1.
CrAsO3 | the Alexandria database | GGA+U | optimized geometry; Fermi-level density of states = 8.53 states/eV per cell
1.0
3.7381 0.0000 0.0000
0.0000 3.7381 0.0000
0.0000 0.0000 3.7381
Cr As O
1 1 3
Cartesian
0.0000 0.0000 0.0000
1.8691 1.8691 1.8691
0.0000 0.0000 1.8691
0.0000 1.8691 0.0000
1.8691 0.0000 0.0000

***

2.
Cr2AsO | the Alexandria database | GGA+U | optimized geometry; Fermi-level density of states = 0.84 states/eV per cell
1.0
0.0000 3.0473 3.0473
3.0473 0.0000 3.0473
3.0473 3.0473 0.0000
Cr As O
2 1 1
Cartesian
1.5237 1.5237 1.5237
4.5710 4.5710 4.5710
0.0000 0.0000 0.0000
3.0473 3.0473 3.0473

***

3.
CrAs3O | the Alexandria database | GGA+U | optimized geometry; Fermi-level density of states = 3.97 states/eV per cell
1.0
4.5182 0.0000 0.0000
0.0000 4.5182 0.0000
0.0000 0.0000 4.5182
Cr As O
1 3 1
Cartesian
0.0000 0.0000 0.0000
0.0000 0.0000 2.2591
0.0000 2.2591 0.0000
2.2591 0.0000 0.0000
2.2591 2.2591 2.2591

***

4.
CrAsO3 | the Alexandria database | GGA+U | optimized geometry; Fermi-level density of states = 4.32 states/eV per cell
1.0
3.7668 0.0000 0.0000
0.0000 3.7668 0.0000
0.0000 0.0000 3.7668
Cr As O
1 1 3
Cartesian
0.0000 0.0000 0.0000
1.8834 1.8834 1.8834
0.0000 1.8834 1.8834
1.8834 0.0000 1.8834
1.8834 1.8834 0.0000

***

Number 1: DFT total energy -5.7573 eV per atom. Number 2: DFT total energy -6.2542 eV per atom. Number 3: DFT total energy -4.2909 eV per atom. Number 4: DFT total energy -6.1335 eV per atom.